# 1
# PBE Ca2PmHo, relaxed
# - SG: No. 160
# - DFT formation energy: 0.05 eV/atom
# - Distance to the lowest polymorph of the same formula: 0.000 eV per atom
# - DOS at the Fermi energy: 6.21 states/eV/cell
# - Theoretical density: 4.42 Mg/m³
# - Total DFT energy (no corrections): -3.2825 eV per atom
data_Ca2PmHo
_chemical_formula_sum 'Ca2 Pm1 Ho1'
_cell_length_a 3.713
_cell_length_b 3.713
_cell_length_c 12.457
_cell_angle_alpha 81.43
_cell_angle_beta 81.43
_cell_angle_gamma 60.00
_space_group_name_H-M_alt 'P 1'
_space_group_IT_number 1
_space_group_name_Hall 'P 1'
loop_
_atom_site_label
_atom_site_fract_x
_atom_site_fract_y
_atom_site_fract_z
Ca1 0.838 0.838 0.485
Ca2 0.416 0.416 0.753
Pm1 0.258 0.258 0.226
Ho1 0.999 0.999 0.002

# 2
# PBE SrCd2Te2, relaxed
# - SG: No. 139
# - Distance to the lowest polymorph of the same formula: 0.018 eV per atom
# - E_form (uncorrected): -595 meV/atom
# - DOS at the Fermi energy: 1.00 states/eV/cell
# - Theoretical density: 5.96 Mg/m³
# - Total DFT energy (no corrections): -2.5539 eV per atom
data_SrCd2Te2
_chemical_formula_sum 'Sr1 Cd2 Te2'
_cell_length_a 4.333
_cell_length_b 4.333
_cell_length_c 8.969
_cell_angle_alpha 76.02
_cell_angle_beta 76.02
_cell_angle_gamma 90.00
_space_group_name_H-M_alt 'P 1'
_space_group_IT_number 1
_space_group_name_Hall 'P 1'
loop_
_atom_site_label
_atom_site_fract_x
_atom_site_fract_y
_atom_site_fract_z
Sr1 0.000 0.000 0.000
Te1 0.405 0.405 0.189
Te2 0.595 0.595 0.811
Cd1 0.750 0.250 0.500
Cd2 0.250 0.750 0.500

# 3
# PBE ZrTl2SbO6, relaxed
# - SG: No. 225
# - E_form (uncorrected): -1639 meV/atom
# - DOS at the Fermi energy: 9.50 states/eV/cell
# - Theoretical density: 8.44 Mg/m³
# - Total DFT energy (no corrections): -6.3547 eV per atom
data_ZrTl2SbO6
_chemical_formula_sum 'Zr2 Tl4 Sb2 O12'
_cell_length_a 5.844
_cell_length_b 5.844
_cell_length_c 8.270
_cell_angle_alpha 90.00
_cell_angle_beta 90.00
_cell_angle_gamma 90.00
_space_group_name_H-M_alt 'P 1'
_space_group_IT_number 1
_space_group_name_Hall 'P 1'
loop_
_atom_site_label
_atom_site_fract_x
_atom_site_fract_y
_atom_site_fract_z
Zr1 0.000 0.750 0.500
Zr2 0.500 0.250 0.000
Tl1 0.500 0.750 0.250
Tl2 0.000 0.250 0.750
Tl3 0.500 0.750 0.750
Tl4 0.000 0.250 0.250
Sb1 0.500 0.250 0.500
Sb2 0.000 0.750 0.000
O1 0.500 0.250 0.256
O2 0.500 0.250 0.744
O3 0.000 0.750 0.244
O4 0.000 0.750 0.756
O5 0.257 0.007 0.500
O6 0.743 0.007 0.500
O7 0.257 0.494 0.500
O8 0.743 0.494 0.500
O9 0.757 0.506 0.000
O10 0.243 0.506 0.000
O11 0.243 0.993 0.000
O12 0.757 0.993 0.000

# 4
# PBE Zr5Co2, relaxed
# - SG: No. 15
# - DFT formation energy: -0.20 eV/atom
# - DOS at the Fermi energy: 14.62 states/eV/cell
# - Theoretical density: 6.84 Mg/m³
# - Total DFT energy (no corrections): -8.3348 eV per atom
data_Zr5Co2
_chemical_formula_sum 'Zr10 Co4'
_cell_length_a 5.851
_cell_length_b 6.287
_cell_length_c 8.153
_cell_angle_alpha 95.29
_cell_angle_beta 111.03
_cell_angle_gamma 90.00
_space_group_name_H-M_alt 'P 1'
_space_group_IT_number 1
_space_group_name_Hall 'P 1'
loop_
_atom_site_label
_atom_site_fract_x
_atom_site_fract_y
_atom_site_fract_z
Zr1 0.199 0.425 0.190
Zr2 0.009 0.075 0.810
Zr3 0.208 0.694 0.565
Zr4 0.643 0.806 0.435
Zr5 0.792 0.306 0.435
Zr6 0.357 0.194 0.565
Zr7 0.991 0.925 0.190
Zr8 0.801 0.575 0.810
Zr9 0.573 0.250 0.000
Zr10 0.427 0.750 0.000
Co1 0.197 0.427 0.782
Co2 0.415 0.073 0.218
Co3 0.803 0.573 0.218
Co4 0.585 0.927 0.782

# 5
# PBE NaTaCr3, relaxed
# - SG: No. 221
# - DFT formation energy: 1.46 eV/atom
# - Distance to the lowest polymorph of the same formula: 0.000 eV per atom
# - DOS at the Fermi energy: 3.10 states/eV/cell
# - Theoretical density: 5.13 Mg/m³
# - Total DFT energy (no corrections): -6.9484 eV per atom
data_NaTaCr3
_chemical_formula_sum 'Na1 Ta1 Cr3'
_cell_length_a 4.885
_cell_length_b 4.885
_cell_length_c 4.885
_cell_angle_alpha 90.00
_cell_angle_beta 90.00
_cell_angle_gamma 90.00
_space_group_name_H-M_alt 'P 1'
_space_group_IT_number 1
_space_group_name_Hall 'P 1'
loop_
_atom_site_label
_atom_site_fract_x
_atom_site_fract_y
_atom_site_fract_z
Cr1 0.000 0.500 0.000
Cr2 0.000 0.000 0.500
Cr3 0.500 0.000 0.000
Na1 0.500 0.500 0.500
Ta1 0.000 0.000 0.000

# 6
# PBE LiYPb2Se4, relaxed
# - SG: No. 10
# - E_form (uncorrected): -1084 meV/atom
# - Theoretical density: 6.42 Mg/m³
# - Total DFT energy (no corrections): -4.8005 eV per atom
data_LiYPb2Se4
_chemical_formula_sum 'Li1 Y1 Pb2 Se4'
_cell_length_a 4.222
_cell_length_b 7.394
_cell_length_c 7.224
_cell_angle_alpha 71.38
_cell_angle_beta 90.00
_cell_angle_gamma 90.00
_space_group_name_H-M_alt 'P 1'
_space_group_IT_number 1
_space_group_name_Hall 'P 1'
loop_
_atom_site_label
_atom_site_fract_x
_atom_site_fract_y
_atom_site_fract_z
Li1 0.500 0.500 0.000
Y1 0.000 0.500 0.500
Pb1 0.000 0.000 0.000
Pb2 0.500 0.000 0.500
Se1 0.000 0.726 0.756
Se2 0.000 0.274 0.244
Se3 0.500 0.725 0.256
Se4 0.500 0.275 0.744

# 7
# PBE Zr2HgHIr, relaxed
# - SG: No. 123
# - DOS at the Fermi energy: 4.46 states/eV/cell
# - Theoretical density: 11.81 Mg/m³
# - Total DFT energy (no corrections): -6.2682 eV per atom
data_Zr2HgHIr
_chemical_formula_sum 'Zr2 Hg1 H1 Ir1'
_cell_length_a 4.592
_cell_length_b 4.592
_cell_length_c 3.841
_cell_angle_alpha 90.00
_cell_angle_beta 90.00
_cell_angle_gamma 90.00
_space_group_name_H-M_alt 'P 1'
_space_group_IT_number 1
_space_group_name_Hall 'P 1'
loop_
_atom_site_label
_atom_site_fract_x
_atom_site_fract_y
_atom_site_fract_z
H1 0.000 0.000 0.000
Ir1 0.000 0.000 0.500
Hg1 0.500 0.500 0.500
Zr1 0.000 0.500 0.000
Zr2 0.500 0.000 0.000

# 8
# PBE TmSn3Pt12, relaxed
# - SG: No. 123
# - DFT formation energy: -0.57 eV/atom
# - DOS at the Fermi energy: 8.93 states/eV/cell
# - Theoretical density: 17.69 Mg/m³
# - Total DFT energy (no corrections): -6.1324 eV per atom
data_TmSn3Pt12
_chemical_formula_sum 'Tm1 Sn3 Pt12'
_cell_length_a 4.068
_cell_length_b 4.068
_cell_length_c 16.251
_cell_angle_alpha 90.00
_cell_angle_beta 90.00
_cell_angle_gamma 90.00
_space_group_name_H-M_alt 'P 1'
_space_group_IT_number 1
_space_group_name_Hall 'P 1'
loop_
_atom_site_label
_atom_site_fract_x
_atom_site_fract_y
_atom_site_fract_z
Tm1 0.000 0.000 0.000
Sn1 0.000 0.000 0.249
Sn2 0.000 0.000 0.500
Sn3 0.000 0.000 0.751
Pt1 0.500 0.500 0.000
Pt2 0.500 0.500 0.252
Pt3 0.500 0.500 0.500
Pt4 0.500 0.500 0.748
Pt5 0.500 0.000 0.126
Pt6 0.500 0.000 0.376
Pt7 0.500 0.000 0.624
Pt8 0.500 0.000 0.874
Pt9 0.000 0.500 0.126
Pt10 0.000 0.500 0.376
Pt11 0.000 0.500 0.624
Pt12 0.000 0.500 0.874

# 9
# PBE Ce2Ge6Rh9, relaxed
# - SG: No. 191
# - DFT formation energy: -0.62 eV/atom
# - DOS at the Fermi energy: 17.88 states/eV/cell
# - Theoretical density: 8.74 Mg/m³
# - Total DFT energy (no corrections): -6.8397 eV per atom
data_Ce2Ge6Rh9
_chemical_formula_sum 'Ce2 Ge6 Rh9'
_cell_length_a 5.655
_cell_length_b 5.655
_cell_length_c 11.269
_cell_angle_alpha 90.00
_cell_angle_beta 90.00
_cell_angle_gamma 120.00
_space_group_name_H-M_alt 'P 1'
_space_group_IT_number 1
_space_group_name_Hall 'P 1'
loop_
_atom_site_label
_atom_site_fract_x
_atom_site_fract_y
_atom_site_fract_z
Ce1 0.000 0.000 0.700
Ce2 0.000 0.000 0.300
Ge1 0.333 0.667 0.000
Ge2 0.667 0.333 0.000
Ge3 0.333 0.667 0.665
Ge4 0.667 0.333 0.665
Ge5 0.667 0.333 0.335
Ge6 0.333 0.667 0.335
Rh1 0.500 0.000 0.832
Rh2 0.000 0.500 0.832
Rh3 0.500 0.500 0.832
Rh4 0.500 0.000 0.168
Rh5 0.000 0.500 0.168
Rh6 0.500 0.500 0.168
Rh7 0.500 0.000 0.500
Rh8 0.000 0.500 0.500
Rh9 0.500 0.500 0.500